Below is SrMg3Zr after structural relaxation, with properties calculated at the PBE level.

The structure in POSCAR format:
```
SrMg3Zr
1.0
-2.542 -2.080 -4.334
-4.296 -1.217 3.104
-2.157 4.875 -1.074
Sr Mg Zr
1 3 1
Direct
0.000 0.000 0.000
0.000 0.500 0.000
0.000 0.000 0.500
0.500 0.000 0.000
0.500 0.500 0.500
```

Formation energy (meV/atom): 1404
Calculated density (g/cm³): 2.60
SG: Pm-3m, No. 221
Final energy (eV/f.u.): -7.99
E above lowest polymorph (eV/atom): 0.777
Crystal system: cubic